A plane-wave DFT calculation with PBE-GGA was carried out for a relaxed structure of TlCuMo4N2.

Summary:
Space group = P-6m2 (187)
Electronic total energy = -8.06 eV per atom
Size of the total moment = 0.001 μB/atom

a b c (Å): 2.9357 2.9357 14.5733
angles (deg): 90.00 90.00 120.00
Sites, in units of the cell vectors:
N  0.0000  0.0000  0.2616
N  0.0000  0.0000  0.7384
Mo  0.6667  0.3333  0.3526
Mo  0.6667  0.3333  0.6474
Mo  0.3333  0.6667  0.8288
Mo  0.3333  0.6667  0.1712
Tl  0.6667  0.3333  0.0000
Cu  0.3333  0.6667  0.5000